(1)
Compound: TePbI
Source: Alexandria via LeMat-Bulk
Functional: PBE-GGA
Structure: relaxed

Unit cell a=4.705 b=5.991 c=9.283 alpha=96.51 beta=90.38 gamma=109.90
Space group P1 (No. 1)
Asymmetric unit:
Te1 0.000 0.000 0.000 x1
Te2 0.121 0.479 0.953 x1
Pb1 0.657 0.584 0.748 x1
Pb2 0.938 0.098 0.335 x1
I1 0.376 0.994 0.593 x1
I2 0.620 0.497 0.320 x1

Properties
As for the crystal system: triclinic. For the formation energy (no corrections), the calculation gives -1.0 eV/f.u. For the mass density, the calculation gives 6.28 g/cm3.


(2)
Compound: Pu2HfSc
Source: Alexandria via LeMat-Bulk
Functional: PBE-GGA
Structure: relaxed

Unit cell a=3.191 b=3.191 c=9.424 alpha=90.00 beta=90.00 gamma=90.00
Space group P4/mmm (No. 123)
Asymmetric unit:
Pu1 0.000 0.000 0.244 x2
Hf1 0.500 0.500 0.000 x1
Sc1 0.500 0.500 0.500 x1

Properties
As for the crystal system: tetragonal. The formation energy from the elements is 0.139 eV/atom. For the mass density, the calculation gives 12.31 g/cm3.


(3)
Compound: Ta2FePt
Source: Alexandria via LeMat-Bulk
Functional: PBE-GGA
Structure: relaxed

Unit cell a=9.423 b=2.791 c=4.912 alpha=90.00 beta=100.19 gamma=90.00
Space group Cm (No. 8)
Asymmetric unit:
Ta1 0.000 0.000 0.000 x2
Ta2 0.230 0.000 0.672 x2
Fe1 0.485 0.000 0.496 x2
Pt1 0.253 0.500 0.197 x2

Properties
As for the crystal system: monoclinic. The formation energy from the elements is -0.212 eV/atom. For the mass density, the calculation gives 16.01 g/cm3.


(4)
Compound: LiTi2Mo
Source: Alexandria via LeMat-Bulk
Functional: PBE-GGA
Structure: relaxed

Unit cell a=3.766 b=3.766 c=18.295 alpha=90.00 beta=90.00 gamma=90.00
Space group I-42d (No. 122)
Asymmetric unit:
Li1 0.000 0.000 0.000 x4
Ti1 0.237 0.250 0.625 x8
Mo1 0.000 0.000 0.500 x4

Properties
As for the crystal system: tetragonal. The formation energy from the elements is 0.657 eV/atom. For the mass density, the calculation gives 5.09 g/cm3.


(5)
Compound: LiPr5Tl4
Source: Alexandria via LeMat-Bulk
Functional: PBE-GGA
Structure: relaxed

Unit cell a=3.784 b=3.784 c=20.907 alpha=90.00 beta=90.00 gamma=90.00
Space group P4/mmm (No. 123)
Asymmetric unit:
Li1 0.000 0.000 0.000 x1
Pr1 0.500 0.500 0.096 x2
Pr2 0.500 0.500 0.296 x2
Pr3 0.500 0.500 0.500 x1
Tl1 0.000 0.000 0.191 x2
Tl2 0.000 0.000 0.398 x2

Properties
As for the crystal system: tetragonal. The formation energy from the elements is -0.307 eV/atom. For the mass density, the calculation gives 8.48 g/cm3.


(6)
Compound: LaYW2
Source: Alexandria via LeMat-Bulk
Functional: PBE-GGA
Structure: relaxed

Unit cell a=3.435 b=4.858 c=10.279 alpha=90.00 beta=90.00 gamma=90.00
Space group Cmmm (No. 65)
Asymmetric unit:
La1 0.000 0.000 0.000 x2
Y1 0.000 0.000 0.500 x2
W1 0.000 0.500 0.257 x4

Properties
As for the crystal system: orthorhombic. The formation energy from the elements is 0.836 eV/atom. For the mass density, the calculation gives 11.53 g/cm3.


(7)
Compound: Tm4CdRe
Source: Alexandria via LeMat-Bulk
Functional: PBE-GGA
Structure: relaxed

Unit cell a=8.587 b=12.724 c=6.143 alpha=90.00 beta=107.27 gamma=90.00
Space group C2/c (No. 15)
Asymmetric unit:
Tm1 0.105 0.172 0.048 x8
Tm2 0.223 0.421 0.390 x8
Cd1 0.000 0.374 0.750 x4
Re1 0.000 0.001 0.250 x4

Properties
As for the crystal system: monoclinic. The formation energy from the elements is -0.156 eV/atom. For the mass density, the calculation gives 10.10 g/cm3.


(8)
Compound: LiGe2Pb
Source: Alexandria via LeMat-Bulk
Functional: PBE-GGA
Structure: relaxed

Unit cell a=4.269 b=4.269 c=4.687 alpha=90.00 beta=90.00 gamma=90.00
Space group P4/mmm (No. 123)
Asymmetric unit:
Li1 0.000 0.000 0.000 x1
Ge1 0.000 0.500 0.500 x2
Pb1 0.500 0.500 0.000 x1

Properties
As for the crystal system: tetragonal. The formation energy from the elements is 0.014 eV/atom. For the mass density, the calculation gives 6.99 g/cm3.


(9)
Compound: Pu6Te5H
Source: Alexandria via LeMat-Bulk
Functional: PBE-GGA
Structure: relaxed

Unit cell a=7.482 b=13.000 c=7.486 alpha=90.00 beta=110.43 gamma=90.00
Space group C2/m (No. 12)
Asymmetric unit:
Pu1 0.221 0.151 0.223 x8
Pu2 0.229 0.000 0.743 x4
Te1 0.000 0.184 0.500 x4
Te2 0.000 0.337 0.000 x4
Te3 0.000 0.500 0.500 x2
H1 0.000 0.000 0.000 x2

Properties
The total energy comes out at -228.33 eV for the cell shown. As for the crystal system: monoclinic. For the mass density, the calculation gives 10.24 g/cm3.


(10)
Compound: SrIrAu2
Source: Alexandria via LeMat-Bulk
Functional: PBE-GGA
Structure: relaxed

Unit cell a=6.935 b=6.935 c=6.935 alpha=90.00 beta=90.00 gamma=90.00
Space group Fm-3m (No. 225)
Asymmetric unit:
Sr1 0.000 0.000 0.000 x4
Ir1 0.000 0.000 0.500 x4
Au1 0.250 0.250 0.250 x8

Properties
As for the crystal system: cubic. The formation energy from the elements is 0.047 eV/atom. For the mass density, the calculation gives 13.42 g/cm3.


(11)
Compound: La4NiSCl2
Source: Alexandria via LeMat-Bulk
Functional: PBE-GGA
Structure: relaxed

Unit cell a=7.369 b=4.043 c=7.469 alpha=90.00 beta=108.72 gamma=90.00
Space group P2/m (No. 10)
Asymmetric unit:
La1 0.228 0.000 0.219 x2
La2 0.261 0.500 0.771 x2
Ni1 0.000 0.500 0.000 x1
S1 0.500 0.000 0.000 x1
Cl1 0.000 0.000 0.500 x1
Cl2 0.500 0.500 0.500 x1

Properties
As for the crystal system: monoclinic. For the formation energy (no corrections), the calculation gives -11.4 eV/f.u. For the mass density, the calculation gives 5.65 g/cm3.


(12)
Compound: NaHfP2
Source: Alexandria via LeMat-Bulk
Functional: PBE-GGA
Structure: relaxed

Unit cell a=6.560 b=6.560 c=6.560 alpha=90.00 beta=90.00 gamma=90.00
Space group Fm-3m (No. 225)
Asymmetric unit:
Na1 0.000 0.000 0.000 x4
Hf1 0.000 0.000 0.500 x4
P1 0.250 0.250 0.250 x8

Properties
As for the crystal system: cubic. The formation energy from the elements is -0.321 eV/atom. For the mass density, the calculation gives 6.20 g/cm3.